{"formula": "KTi2S3", "functional": "PBE", "state": "optimized geometry", "lattice_angstrom": [[-2.1561, -0.0997, -3.0423], [-2.5483, -5.7359, 4.2808], [-6.1811, 5.8719, 4.1884]], "species": ["K", "K", "Ti", "Ti", "Ti", "Ti", "S", "S", "S", "S", "S", "S"], "fractional_positions": [[0.2490, 0.4981, 0.2500], [0.7510, 0.5019, 0.7500], [0.0000, 0.0000, 0.0000], [0.0000, 0.0000, 0.5000], [0.5219, 0.0439, 0.2500], [0.4781, 0.9561, 0.7500], [0.6130, 0.2260, 0.0510], [0.0738, 0.1476, 0.7500], [0.6130, 0.2260, 0.4490], [0.9262, 0.8524, 0.2500], [0.3870, 0.7740, 0.9490], [0.3870, 0.7740, 0.5510]], "spacegroup": "Cmcm, No. 63", "dft_energy_ev_per_atom": -6.218, "formation_energy_uncorrected_ev_per_atom": -1.340}



{"formula": "KTiS", "functional": "PBE", "state": "optimized geometry", "lattice_angstrom": [[-0.4771, -3.2851, -2.0353], [-1.7874, -1.6306, 3.0510], [-9.5446, 3.6438, -3.6441]], "species": ["K", "K", "S", "S", "Ti", "Ti"], "fractional_positions": [[0.0000, 0.5000, 0.8018], [0.5000, 0.0000, 0.1982], [0.0000, 0.5000, 0.3570], [0.5000, 0.0000, 0.6430], [0.5000, 0.5000, 0.5000], [0.0000, 0.0000, 0.5000]], "spacegroup": "P4/nmm, No. 129", "dft_energy_ev_per_atom": -5.286, "formation_energy_uncorrected_ev_per_atom": -0.913}



{"formula": "K4Ti3S14", "functional": "PBE", "state": "optimized geometry", "lattice_angstrom": [[-9.6015, -6.1538, 0.8321], [-3.7662, -9.3144, 5.4598], [-6.9429, 3.1260, 10.8896]], "species": ["K", "K", "K", "K", "K", "K", "K", "K", "Ti", "Ti", "Ti", "Ti", "Ti", "Ti", "S", "S", "S", "S", "S", "S", "S", "S", "S", "S", "S", "S", "S", "S", "S", "S", "S", "S", "S", "S", "S", "S", "S", "S", "S", "S", "S", "S"], "fractional_positions": [[0.0186, 0.3778, 0.8909], [0.6222, 0.9814, 0.6091], [0.9814, 0.6222, 0.1091], [0.3778, 0.0186, 0.3909], [0.1868, 0.6652, 0.6464], [0.3348, 0.8132, 0.8536], [0.8132, 0.3348, 0.3536], [0.6652, 0.1868, 0.1464], [0.9231, 0.4118, 0.5842], [0.5882, 0.0769, 0.9158], [0.0769, 0.5882, 0.4158], [0.4118, 0.9231, 0.0842], [0.7651, 0.2349, 0.7500], [0.2349, 0.7651, 0.2500], [0.9860, 0.5701, 0.6023], [0.4299, 0.0140, 0.8977], [0.0140, 0.4299, 0.3977], [0.5701, 0.9860, 0.1023], [0.6598, 0.4802, 0.5817], [0.5198, 0.3402, 0.9183], [0.3402, 0.5198, 0.4183], [0.4802, 0.6598, 0.0817], [0.7565, 0.4323, 0.7916], [0.5677, 0.2435, 0.7084], [0.2435, 0.5677, 0.2084], [0.4323, 0.7565, 0.2916], [0.0738, 0.0990, 0.6318], [0.9010, 0.9262, 0.8682], [0.9262, 0.9010, 0.3682], [0.0990, 0.0738, 0.1318], [0.8833, 0.1905, 0.8969], [0.8095, 0.1167, 0.6031], [0.1167, 0.8095, 0.1031], [0.1905, 0.8833, 0.3969], [0.8462, 0.8091, 0.8342], [0.1909, 0.1538, 0.6658], [0.1538, 0.1909, 0.1658], [0.8091, 0.8462, 0.3342], [0.3078, 0.3988, 0.8979], [0.6012, 0.6922, 0.6021], [0.6922, 0.6012, 0.1021], [0.3988, 0.3078, 0.3979]], "spacegroup": "C2/c, No. 15", "dft_energy_ev_per_atom": -5.090, "formation_energy_uncorrected_ev_per_atom": -1.001}



{"formula": "K5TiS4", "functional": "PBE", "state": "optimized geometry", "lattice_angstrom": [[-1.7638, -6.8561, -2.0885], [7.5864, -0.0796, -6.1456], [5.4613, -3.4723, 6.7867]], "species": ["K", "K", "K", "K", "K", "K", "K", "K", "K", "K", "Ti", "Ti", "S", "S", "S", "S", "S", "S", "S", "S"], "fractional_positions": [[0.7383, 0.1924, 0.2391], [0.7383, 0.1924, 0.7609], [0.1572, 0.0000, 0.5000], [0.7383, 0.8076, 0.2391], [0.7383, 0.8076, 0.7609], [0.2617, 0.6924, 0.2609], [0.2617, 0.6924, 0.7391], [0.8428, 0.5000, 0.0000], [0.2617, 0.3076, 0.7391], [0.2617, 0.3076, 0.2609], [0.2128, 0.0000, 0.0000], [0.7872, 0.5000, 0.5000], [0.0369, 0.2047, 0.0000], [0.3886, 0.0000, 0.2126], [0.3886, 0.0000, 0.7874], [0.0369, 0.7953, 0.0000], [0.9631, 0.7047, 0.5000], [0.6114, 0.5000, 0.2874], [0.6114, 0.5000, 0.7126], [0.9631, 0.2953, 0.5000]], "spacegroup": "Pmmn, No. 59", "dft_energy_ev_per_atom": -4.142, "formation_energy_uncorrected_ev_per_atom": -1.152}



{"formula": "KTiS2", "functional": "PBE", "state": "optimized geometry", "lattice_angstrom": [[-3.3081, 6.2239, 3.0422], [-5.6309, 5.1998, 0.4371], [-5.7095, 3.5691, 3.6876]], "species": ["K", "S", "S", "Ti"], "fractional_positions": [[0.1819, 0.1819, 0.1819], [0.6175, 0.6175, 0.6175], [0.4094, 0.4094, 0.4094], [0.0131, 0.0131, 0.0131]], "spacegroup": "R3m, No. 160", "dft_energy_ev_per_atom": -5.640, "formation_energy_uncorrected_ev_per_atom": -1.328}



{"formula": "K14Ti2S9", "functional": "PBE", "state": "optimized geometry", "lattice_angstrom": [[8.8557, 0.0000, 0.0000], [-4.4279, 7.6693, 0.0000], [0.0000, 0.0000, 12.3365]], "species": ["K", "K", "K", "K", "K", "K", "K", "K", "K", "K", "K", "K", "K", "K", "Ti", "Ti", "S", "S", "S", "S", "S", "S", "S", "S", "S"], "fractional_positions": [[0.0435, 0.6753, 0.9053], [0.3071, 0.9104, 0.5991], [0.0896, 0.3967, 0.5991], [0.0000, 0.0000, 0.2532], [0.0000, 0.0000, 0.7468], [0.3247, 0.3683, 0.9053], [0.6317, 0.9565, 0.9053], [0.3967, 0.3071, 0.4009], [0.6033, 0.6929, 0.5991], [0.3683, 0.0435, 0.0947], [0.6753, 0.6317, 0.0947], [0.9104, 0.6033, 0.4009], [0.6929, 0.0896, 0.4009], [0.9565, 0.3247, 0.0947], [0.3333, 0.6667, 0.2723], [0.6667, 0.3333, 0.7277], [0.2892, 0.8981, 0.3368], [0.1019, 0.3911, 0.3368], [0.3333, 0.6667, 0.0781], [0.0000, 0.0000, 0.0000], [0.3911, 0.2892, 0.6632], [0.6089, 0.7108, 0.3368], [0.6667, 0.3333, 0.9219], [0.8981, 0.6089, 0.6632], [0.7108, 0.1019, 0.6632]], "spacegroup": "P-3, No. 147", "dft_energy_ev_per_atom": -3.766, "formation_energy_uncorrected_ev_per_atom": -1.034}



{"formula": "K5TiS5", "functional": "PBE", "state": "optimized geometry", "lattice_angstrom": [[5.9597, 0.0000, 0.0000], [-2.9798, 7.0768, -0.0573], [0.0000, -2.7166, 7.9848]], "species": ["K", "K", "K", "K", "K", "Ti", "S", "S", "S", "S", "S"], "fractional_positions": [[0.6936, 0.3872, 0.3051], [0.6706, 0.3412, 0.8490], [0.0000, 0.0000, 0.5000], [0.3294, 0.6588, 0.1510], [0.3064, 0.6128, 0.6949], [0.0000, 0.0000, 0.0000], [0.8761, 0.7523, 0.1356], [0.8672, 0.7345, 0.7271], [0.5000, 0.0000, 0.0000], [0.1328, 0.2655, 0.2729], [0.1239, 0.2477, 0.8644]], "spacegroup": "C2/m, No. 12", "dft_energy_ev_per_atom": -4.073, "formation_energy_uncorrected_ev_per_atom": -0.980}



{"formula": "KTi2S", "functional": "PBE", "state": "optimized geometry", "lattice_angstrom": [[4.6908, 0.0000, 0.0000], [0.0000, 4.6908, 0.0000], [2.3454, 2.3454, 9.0296]], "species": ["K", "K", "S", "S", "Ti", "Ti", "Ti", "Ti"], "fractional_positions": [[0.0000, 0.0000, 0.0000], [0.7500, 0.2500, 0.5000], [0.5000, 0.5000, 0.0000], [0.2500, 0.7500, 0.5000], [0.3750, 0.1250, 0.2500], [0.3750, 0.6250, 0.2500], [0.3750, 0.6250, 0.7500], [0.8750, 0.6250, 0.7500]], "spacegroup": "I4_1/amd, No. 141", "dft_energy_ev_per_atom": -5.089, "formation_energy_uncorrected_ev_per_atom": 0.165}



{"formula": "K2TiS", "functional": "PBE", "state": "optimized geometry", "lattice_angstrom": [[-5.4715, -3.5542, -10.2843], [10.6791, -3.9621, -4.3122], [2.2012, -5.8714, -6.3537]], "species": ["K", "K", "K", "K", "S", "S", "Ti", "Ti"], "fractional_positions": [[0.4570, 0.1250, 0.2500], [0.2930, 0.6250, 0.2500], [0.3750, 0.5430, 0.7500], [0.8750, 0.7070, 0.7500], [0.5000, 0.5000, 0.0000], [0.2500, 0.7500, 0.5000], [0.0000, 0.0000, 0.0000], [0.7500, 0.2500, 0.5000]], "spacegroup": "I-42d, No. 122", "dft_energy_ev_per_atom": -3.745, "formation_energy_uncorrected_ev_per_atom": -0.190}



{"formula": "K5Ti2S6", "functional": "PBE", "state": "optimized geometry", "lattice_angstrom": [[-5.3049, -5.1835, 1.0992], [0.0019, -3.2158, 6.7733], [-11.5195, 9.2059, 7.5815]], "species": ["K", "K", "K", "K", "K", "K", "K", "K", "K", "K", "Ti", "Ti", "Ti", "Ti", "S", "S", "S", "S", "S", "S", "S", "S", "S", "S", "S", "S"], "fractional_positions": [[0.6852, 0.2091, 0.9988], [0.7909, 0.3148, 0.5012], [0.3148, 0.7909, 0.0012], [0.2091, 0.6852, 0.4988], [0.7368, 0.9471, 0.7253], [0.0529, 0.2632, 0.7747], [0.2632, 0.0529, 0.2747], [0.9471, 0.7368, 0.2253], [0.3600, 0.6400, 0.7500], [0.6400, 0.3600, 0.2500], [0.3597, 0.0947, 0.5718], [0.9053, 0.6403, 0.9282], [0.6403, 0.9053, 0.4282], [0.0947, 0.3597, 0.0718], [0.0987, 0.0213, 0.6264], [0.9787, 0.9013, 0.8736], [0.9013, 0.9787, 0.3736], [0.0213, 0.0987, 0.1264], [0.3941, 0.3150, 0.6398], [0.6850, 0.6059, 0.8602], [0.6059, 0.6850, 0.3602], [0.3150, 0.3941, 0.1398], [0.6489, 0.7948, 0.5697], [0.2052, 0.3511, 0.9303], [0.3511, 0.2052, 0.4303], [0.7948, 0.6489, 0.0697]], "spacegroup": "C2/c, No. 15", "dft_energy_ev_per_atom": -4.912, "formation_energy_uncorrected_ev_per_atom": -1.370}



{"formula": "K5TiS4", "functional": "PBE", "state": "optimized geometry", "lattice_angstrom": [[-3.5896, 0.2072, 1.9332], [-3.1653, -5.8343, -5.2521], [4.9977, -5.6962, 5.5802]], "species": ["K", "K", "K", "K", "K", "Ti", "S", "S", "S", "S"], "fractional_positions": [[0.1523, 0.3204, 0.3046], [0.1768, 0.8437, 0.3535], [0.8232, 0.1563, 0.6465], [0.5000, 0.5000, 0.0000], [0.8477, 0.6796, 0.6954], [0.5000, 0.0000, 0.0000], [0.6332, 0.0671, 0.2664], [0.9909, 0.2002, 0.9818], [0.3668, 0.9329, 0.7336], [0.0091, 0.7998, 0.0182]], "spacegroup": "C2/m, No. 12", "dft_energy_ev_per_atom": -3.935, "formation_energy_uncorrected_ev_per_atom": -0.946}



{"formula": "KTiS2", "functional": "PBE", "state": "optimized geometry", "lattice_angstrom": [[-0.1231, 0.1166, 3.9555], [0.5994, -7.3320, 0.2349], [7.0047, 4.1709, -1.8865]], "species": ["K", "K", "Ti", "Ti", "S", "S", "S", "S"], "fractional_positions": [[0.6956, 0.6477, 0.9658], [0.9654, 0.9118, 0.5052], [0.2376, 0.1866, 0.0499], [0.4231, 0.3729, 0.4210], [0.3314, 0.0230, 0.2373], [0.0129, 0.4641, 0.6004], [0.6478, 0.0955, 0.8705], [0.3296, 0.5366, 0.2336]], "spacegroup": "C2/m, No. 12", "dft_energy_ev_per_atom": -5.612, "formation_energy_uncorrected_ev_per_atom": -1.300}